No. 1
This record from Alexandria describes crystalline HgBPt3 at its relaxed geometry. The functional is PBE.

```
HgBPt3
1.0
5.186 0.000 0.000
0.000 5.801 0.000
-1.906 0.000 5.328
Hg B Pt
2 2 6
Cartesian
0.042 1.450 0.092 Hg
3.238 4.351 5.236 Hg
1.080 4.351 2.441 B
2.200 1.450 2.887 B
-0.946 1.450 2.715 Pt
1.101 0.018 4.011 Pt
1.101 2.883 4.011 Pt
2.179 2.918 1.317 Pt
2.179 5.783 1.317 Pt
4.226 4.351 2.613 Pt
```

Values from the calculation:
Its density of states at the Fermi level is 0.3486 states/eV/atom. Its total magnetic moment is 0.0 μB per cell. As for the formation enthalpy at 0 K: -0.0943 eV/atom. The energy relative to the lowest polymorph listed for this composition is 115 meV per atom.


No. 2
This record from Alexandria describes crystalline HgBPt2 at its relaxed geometry. The functional is PBE.

```
HgBPt2
1.0
1.653 0.954 6.608
-1.653 0.954 6.608
0.000 -1.909 6.608
Hg B Pt
1 1 2
Cartesian
0.000 0.000 0.000 Hg
0.000 0.000 3.330 B
0.000 0.000 10.994 Pt
0.000 0.000 15.452 Pt
```

Values from the calculation:
Its density of states at the Fermi level is 0.3855 states/eV/atom. Its total magnetic moment is 0.0 μB per cell. As for the formation enthalpy at 0 K: -0.1036 eV/atom. The energy relative to the lowest polymorph listed for this composition is 14 meV per atom.


No. 3
This record from Alexandria describes crystalline HgBPt3 at its relaxed geometry. The functional is PBE.

```
HgBPt3
1.0
3.309 -6.580 0.000
3.309 6.580 0.000
0.000 0.000 5.198
Hg B Pt
2 2 6
Cartesian
3.309 4.065 3.899 Hg
3.309 -4.065 1.300 Hg
3.309 1.612 3.899 B
3.309 -1.612 1.300 B
0.000 0.000 0.000 Pt
0.000 0.000 2.599 Pt
1.424 1.878 3.899 Pt
1.424 -1.878 1.300 Pt
5.195 1.878 3.899 Pt
5.195 -1.878 1.300 Pt
```

Values from the calculation:
Its density of states at the Fermi level is 0.5990 states/eV/atom. Its total magnetic moment is 0.0 μB per cell. As for the formation enthalpy at 0 K: 0.4041 eV/atom. The energy relative to the lowest polymorph listed for this composition is 613 meV per atom.


No. 4
This record from Alexandria describes crystalline HgBPt2 at its relaxed geometry. The functional is PBE.

```
HgBPt2
1.0
-3.335 3.335 2.865
3.335 -3.335 2.865
3.335 3.335 -2.865
Hg B Pt
2 2 4
Cartesian
0.000 0.000 0.000 Hg
0.000 3.335 1.433 Hg
3.335 0.000 1.433 B
0.000 0.000 2.865 B
1.667 -0.998 2.149 Pt
2.336 1.667 0.716 Pt
1.667 4.333 -0.716 Pt
0.998 1.667 3.581 Pt
```

Values from the calculation:
Its density of states at the Fermi level is 0.3500 states/eV/atom. Its total magnetic moment is 0.0 μB per cell. As for the formation enthalpy at 0 K: -0.0674 eV/atom. The energy relative to the lowest polymorph listed for this composition is 50 meV per atom.


No. 5
This record from Alexandria describes crystalline HgBPt3 at its relaxed geometry. The functional is PBE.

```
HgBPt3
1.0
7.725 -2.128 0.000
7.725 2.128 0.000
-1.341 0.000 5.106
Hg B Pt
2 2 6
Cartesian
1.145 0.000 0.934 Hg
12.965 0.000 4.172 Hg
4.929 0.000 0.672 B
9.181 0.000 4.435 B
2.225 0.000 4.232 Pt
4.464 0.000 2.658 Pt
6.896 0.000 1.144 Pt
7.214 0.000 3.962 Pt
9.646 0.000 2.449 Pt
11.885 0.000 0.875 Pt
```

Values from the calculation:
Its density of states at the Fermi level is 0.2400 states/eV/atom. Its total magnetic moment is 0.0 μB per cell. As for the formation enthalpy at 0 K: -0.0451 eV/atom. The energy relative to the lowest polymorph listed for this composition is 164 meV per atom.


No. 6
This record from Alexandria describes crystalline HgBPt3 at its relaxed geometry. The functional is PBE.

```
HgBPt3
1.0
4.123 0.000 0.000
0.000 4.123 0.000
0.000 0.000 6.526
Hg B Pt
1 1 3
Cartesian
0.000 0.000 0.000 Hg
2.061 2.061 2.328 B
0.000 0.000 3.900 Pt
0.000 2.061 2.106 Pt
2.061 0.000 2.106 Pt
```

Values from the calculation:
Its density of states at the Fermi level is 0.9631 states/eV/atom. Its total magnetic moment is 0.0 μB per cell. As for the formation enthalpy at 0 K: 0.3446 eV/atom. The energy relative to the lowest polymorph listed for this composition is 554 meV per atom.


No. 7
This record from Alexandria describes crystalline HgBPt4 at its relaxed geometry. The functional is PBE.

```
HgBPt4
1.0
4.957 0.000 0.000
-0.001 5.931 0.000
-2.461 -1.975 6.314
Hg B Pt
2 2 8
Cartesian
0.470 1.483 0.006 Hg
2.025 2.473 6.308 Hg
-1.231 1.978 3.157 B
1.248 -0.987 3.157 B
-0.529 0.068 2.527 Pt
0.544 3.038 2.535 Pt
-0.439 1.713 5.111 Pt
0.465 -1.243 5.120 Pt
2.030 5.199 1.193 Pt
2.934 2.243 1.203 Pt
1.951 0.918 3.779 Pt
3.024 3.888 3.787 Pt
```

Values from the calculation:
Its density of states at the Fermi level is 0.4943 states/eV/atom. Its total magnetic moment is 0.0 μB per cell. As for the formation enthalpy at 0 K: -0.1180 eV/atom. The energy relative to the lowest polymorph listed for this composition is 0 meV per atom.


No. 8
This record from Alexandria describes crystalline HgB3Pt at its relaxed geometry. The functional is PBE.

```
HgB3Pt
1.0
4.269 0.000 0.000
0.000 4.269 0.000
0.000 0.000 4.269
Hg B Pt
1 3 1
Cartesian
0.000 0.000 0.000 Hg
0.000 0.000 2.135 B
0.000 2.135 0.000 B
2.135 0.000 0.000 B
2.135 2.135 2.135 Pt
```

Values from the calculation:
Its density of states at the Fermi level is 0.6425 states/eV/atom. Its total magnetic moment is 0.0 μB per cell. As for the formation enthalpy at 0 K: 2.3749 eV/atom. The energy relative to the lowest polymorph listed for this composition is 1245 meV per atom.


No. 9
This record from Alexandria describes crystalline HgBPtRh2 at its relaxed geometry. The functional is PBE.

```
HgBPtRh2
1.0
4.199 0.000 0.000
0.000 4.199 0.000
0.000 0.000 4.192
Hg B Pt Rh
1 1 1 2
Cartesian
0.000 0.000 0.000 Hg
2.099 2.099 2.096 B
2.099 2.099 0.000 Pt
0.000 2.099 2.096 Rh
2.099 0.000 2.096 Rh
```

Values from the calculation:
Its density of states at the Fermi level is 1.1155 states/eV/atom. Its total magnetic moment is 0.0 μB per cell. As for the formation enthalpy at 0 K: -0.1030 eV/atom.


No. 10
This record from Alexandria describes crystalline HgBPt2Rh at its relaxed geometry. The functional is PBE.

```
HgBPt2Rh
1.0
4.238 0.000 0.000
0.000 4.238 0.000
0.000 0.000 4.212
Hg B Pt Rh
1 1 2 1
Cartesian
0.000 0.000 0.000 Hg
2.119 2.119 2.106 B
0.000 2.119 2.106 Pt
2.119 0.000 2.106 Pt
2.119 2.119 0.000 Rh
```

Values from the calculation:
Its density of states at the Fermi level is 0.1536 states/eV/atom. Its total magnetic moment is 0.0 μB per cell. As for the formation enthalpy at 0 K: -0.1328 eV/atom.


No. 11
This record from Alexandria describes crystalline SmHgBPt4 at its relaxed geometry. The functional is PBE.

```
SmHgBPt4
1.0
0.000 5.316 5.316
5.316 0.000 5.316
5.316 5.316 0.000
Sm Hg B Pt
1 1 1 4
Cartesian
0.000 0.000 0.000 Sm
2.658 2.658 2.658 Hg
7.974 7.974 7.974 B
9.105 6.842 6.842 Pt
6.842 9.105 6.842 Pt
6.842 6.842 9.105 Pt
9.105 9.105 9.105 Pt
```

Values from the calculation:
Its density of states at the Fermi level is 1.5606 states/eV/atom. Its total magnetic moment is 0.0 μB per cell. As for the formation enthalpy at 0 K: 1.0921 eV/atom.


No. 12
This record from Alexandria describes crystalline Sn2HgBPt at its relaxed geometry. The functional is PBE.

```
Sn2HgBPt
1.0
5.117 0.000 0.000
0.000 5.117 0.000
0.000 0.000 4.108
Sn Hg B Pt
2 1 1 1
Cartesian
0.000 2.559 0.000 Sn
2.559 0.000 0.000 Sn
0.000 0.000 2.054 Hg
2.559 2.559 0.000 B
2.559 2.559 2.054 Pt
```

Values from the calculation:
Its density of states at the Fermi level is 0.6593 states/eV/atom. Its total magnetic moment is 0.0 μB per cell. As for the formation enthalpy at 0 K: 0.2651 eV/atom.


No. 13
This record from Alexandria describes crystalline YHg2BPt at its relaxed geometry. The functional is PBE.

```
YHg2BPt
1.0
5.207 0.000 0.000
0.000 5.207 0.000
0.000 0.000 5.260
Y Hg B Pt
1 2 1 1
Cartesian
0.000 0.000 0.000 Y
0.000 2.603 2.630 Hg
2.603 0.000 2.630 Hg
2.603 2.603 0.000 B
0.000 0.000 2.630 Pt
```

Values from the calculation:
Its density of states at the Fermi level is 0.6219 states/eV/atom. Its total magnetic moment is 0.5 μB per cell. As for the formation enthalpy at 0 K: 0.7339 eV/atom. The energy relative to the lowest polymorph listed for this composition is 581 meV per atom.


No. 14
This record from Alexandria describes crystalline YHg2BPt at its relaxed geometry. The functional is PBE.

```
YHg2BPt
1.0
5.317 0.000 0.000
0.000 5.317 0.000
0.000 0.000 4.034
Y Hg B Pt
1 2 1 1
Cartesian
0.000 0.000 0.000 Y
0.000 2.658 2.017 Hg
2.658 0.000 2.017 Hg
2.658 2.658 0.000 B
2.658 2.658 2.017 Pt
```

Values from the calculation:
Its density of states at the Fermi level is 0.4658 states/eV/atom. Its total magnetic moment is 0.0 μB per cell. As for the formation enthalpy at 0 K: 0.1531 eV/atom. The energy relative to the lowest polymorph listed for this composition is 0 meV per atom.


No. 15
This record from Alexandria describes crystalline Pu2HgB at its relaxed geometry. The functional is PBE.

```
Pu2HgB
1.0
3.190 0.000 0.000
0.000 3.190 0.000
0.000 0.000 7.989
Pu Hg B
2 1 1
Cartesian
0.000 0.000 1.462 Pu
0.000 0.000 6.527 Pu
1.595 1.595 3.994 Hg
1.595 1.595 0.000 B
```

Values from the calculation:
Its density of states at the Fermi level is 2.3599 states/eV/atom. Its total magnetic moment is 10.7 μB per cell. As for the formation enthalpy at 0 K: 0.0002 eV/atom.


No. 16
This record from Alexandria describes crystalline RbHgB2 at its relaxed geometry. The functional is PBE.

```
RbHgB2
1.0
-2.429 2.429 7.540
2.429 -2.429 7.540
2.429 2.429 -7.540
Rb Hg B
2 2 4
Cartesian
2.429 1.214 1.885 Rb
0.000 1.214 5.655 Rb
2.429 -1.214 5.655 Hg
0.000 3.643 1.885 Hg
0.000 0.000 0.000 B
1.214 1.214 -3.770 B
1.214 -1.214 3.770 B
0.000 2.429 0.000 B
```

Values from the calculation:
Its density of states at the Fermi level is 0.4242 states/eV/atom. Its total magnetic moment is 0.0 μB per cell. As for the formation enthalpy at 0 K: 1.3003 eV/atom.


No. 17
This record from Alexandria describes crystalline Rb2HgB at its relaxed geometry. The functional is PBE.

```
Rb2HgB
1.0
0.000 4.197 4.197
4.197 0.000 4.197
4.197 4.197 0.000
Rb Hg B
2 1 1
Cartesian
2.098 2.098 2.098 Rb
6.295 6.295 6.295 Rb
0.000 0.000 0.000 Hg
4.197 4.197 4.197 B
```

Values from the calculation:
Its density of states at the Fermi level is 1.2155 states/eV/atom. Its total magnetic moment is 2.5 μB per cell. As for the formation enthalpy at 0 K: 0.8926 eV/atom. The energy relative to the lowest polymorph listed for this composition is 474 meV per atom.


No. 18
This record from Alexandria describes crystalline Rb2HgB at its relaxed geometry. The functional is PBE.

```
Rb2HgB
1.0
-6.541 6.541 2.123
6.541 -6.541 2.123
6.541 6.541 -2.123
Rb Hg B
4 2 2
Cartesian
0.620 3.270 0.531 Rb
-3.270 5.921 1.592 Rb
-0.620 9.811 0.531 Rb
3.270 7.161 1.592 Rb
6.541 0.000 1.061 Hg
0.000 0.000 2.123 Hg
0.000 0.000 0.000 B
0.000 6.541 1.061 B
```

Values from the calculation:
Its density of states at the Fermi level is 0.5557 states/eV/atom. Its total magnetic moment is 0.0 μB per cell. As for the formation enthalpy at 0 K: 0.4187 eV/atom. The energy relative to the lowest polymorph listed for this composition is 0 meV per atom.


No. 19
This record from Alexandria describes crystalline RbHg2BS4 at its relaxed geometry. The functional is PBE.

```
RbHg2BS4
1.0
-3.092 3.766 4.337
3.092 -3.766 4.337
3.092 3.766 -4.337
Rb Hg B S
1 2 1 4
Cartesian
0.000 0.000 0.000 Rb
3.092 0.000 2.776 Hg
0.000 3.766 1.561 Hg
0.000 0.000 4.337 B
2.038 2.546 -1.098 S
1.054 -1.220 5.435 S
1.054 1.220 3.239 S
2.038 4.986 1.098 S
```

Values from the calculation:
The energy relative to the elements, uncorrected comes out at -0.459 eV per atom. Its total magnetic moment is 0.0 μB per cell.


No. 20
This record from Alexandria describes crystalline Rb2HgBS4 at its relaxed geometry. The functional is PBE.

```
Rb2HgBS4
1.0
0.000 6.743 10.893
3.165 0.000 10.893
3.165 6.743 0.000
Rb Hg B S
4 2 2 8
Cartesian
2.373 5.058 1.205 Rb
3.956 8.429 6.651 Rb
2.373 5.058 15.135 Rb
3.956 8.429 20.581 Rb
0.791 1.686 2.723 Hg
5.538 11.801 19.062 Hg
2.373 5.058 8.170 B
3.956 8.429 13.616 B
3.544 3.934 7.079 S
3.544 6.181 9.260 S
5.126 7.306 14.707 S
5.126 9.552 12.525 S
1.203 3.934 9.260 S
1.203 6.181 7.079 S
2.785 7.306 12.525 S
2.785 9.552 14.707 S
```

Values from the calculation:
The energy relative to the elements, uncorrected comes out at -0.534 eV per atom. Its density of states at the Fermi level is 0.7533 states/eV/atom. Its total magnetic moment is 0.0 μB per cell.